The following is a PBE-GGA calculation of a relaxed structure of PtS3N, from Alexandria.

Geometry as extended XYZ:
```
5
Lattice="4.6566 0.0000 0.0000 0.0000 4.6566 0.0000 0.0000 0.0000 4.6566" Properties=species:S:1:pos:R:3 pbc="T T T"
Pt 0.0000 0.0000 0.0000
S 0.0000 0.0000 2.3283
S 0.0000 2.3283 0.0000
S 2.3283 0.0000 0.0000
N 2.3283 2.3283 2.3283
```

Calculated values
- Energy relative to the lowest polymorph listed for this composition: 0.570 eV per atom
- Crystal system: cubic
- Total magnetization: 0.003 μB/f.u.
- Total energy: -17.19 eV/f.u.
- Space group: Pm-3m
- Density of states at the Fermi level: 1.66 states/eV/atom
- Formation energy from raw total energies: 1.912 eV/atom